PrCrO3: optimized geometry, PBE+U.

a = 5.555 Å, b = 5.555 Å, c = 5.555 Å
α = 120.58°, β = 89.93°, γ = 119.50°
Atoms (fractional coordinates):
Pr: 0.263 0.013 0.250
Pr: 0.737 0.987 0.750
Cr: 0.000 0.500 0.500
Cr: 0.500 0.500 0.000
O: 0.160 0.410 0.750
O: 0.302 0.000 0.802
O: 0.302 0.500 0.302
O: 0.698 0.000 0.198
O: 0.698 0.500 0.698
O: 0.840 0.590 0.250

Summary:
Calculated total energy in eV per formula unit: -40.7
DOS(E_F) in states/eV/cell: 0.0